No. 1
SmAsPt: PBEsol geometry, SCAN.

For the energy relative to the elements, the calculation gives -4.42 eV/f.u. As for the size of the total moment: 0.00 μB per cell. Its space-group type is No. 194. The calculation puts the density of states at the Fermi level at 0.57 states/eV/f.u. The volume comes out at 245.16 Å³ per cell. As for the total energy: -139.25 eV/f.u.

Lattice parameters (Å, degrees): 4.2797 4.2797 15.4559 90.00 90.00 120.00
Closest atoms and distances in Å follow each position.
Fractional coordinates of all 12 atoms:
Sm  0.0000  0.0000  0.0000  6 As 3.07, 6 Pt 3.22
Sm  0.0000  0.0000  0.2500  6 Pt 3.06, 6 As 3.20
Sm  0.0000  0.0000  0.5000  6 As 3.07, 6 Pt 3.22
Sm  0.0000  0.0000  0.7500  6 Pt 3.06, 6 As 3.20
As  0.3333  0.6667  0.1180  3 Pt 2.48
As  0.3333  0.6667  0.3820  3 Pt 2.48
As  0.6667  0.3333  0.6180  3 Pt 2.48
As  0.6667  0.3333  0.8820  3 Pt 2.48
Pt  0.3333  0.6667  0.6333  3 As 2.48
Pt  0.3333  0.6667  0.8667  3 As 2.48
Pt  0.6667  0.3333  0.1333  3 As 2.48
Pt  0.6667  0.3333  0.3667  3 As 2.48


No. 2
Sr2AsPt: PBEsol geometry, SCAN.

For the energy relative to the elements, the calculation gives -2.63 eV/f.u. As for the size of the total moment: 0.00 μB per cell. Its space-group type is No. 122. The calculation puts the density of states at the Fermi level at 0.48 states/eV/f.u. The volume comes out at 215.01 Å³ per cell. As for the total energy: -137.56 eV/f.u.

Lattice parameters (Å, degrees): 6.5936 6.5936 6.5936 104.48 104.48 119.98
Closest atoms and distances in Å follow each position.
Fractional coordinates of all 8 atoms:
Sr  0.1117  0.6250  0.9867  2 Pt 2.90, 2 As 3.05
Sr  0.3750  0.3617  0.4867  2 Pt 2.90, 2 As 3.05
Sr  0.6383  0.1250  0.0133  2 Pt 2.90, 2 As 3.05
Sr  0.8750  0.8883  0.5133  2 Pt 2.90, 2 As 3.05
As  0.2500  0.7500  0.5000  4 Sr 3.05, 2 Pt 3.30
As  0.5000  0.5000  0.0000  4 Sr 3.05, 2 Pt 3.30
Pt  0.0000  0.0000  0.0000  4 Sr 2.90
Pt  0.7500  0.2500  0.5000  4 Sr 2.90


No. 3
Sr2AsPt: PBEsol geometry, SCAN.

For the energy relative to the elements, the calculation gives -4.22 eV/f.u. As for the size of the total moment: 0.00 μB per cell. Its space-group type is No. 38. The calculation puts the density of states at the Fermi level at 2.81 states/eV/f.u. The volume comes out at 107.15 Å³ per cell. As for the total energy: -139.16 eV/f.u.

Lattice parameters (Å, degrees): 4.4697 5.7784 5.7784 45.88 90.00 90.00
Closest atoms and distances in Å follow each position.
Fractional coordinates of all 4 atoms:
Sr  0.0000  0.0000  0.0000  3 Pt 3.10-3.20, 4 As 3.30
Sr  0.5000  0.2856  0.2856  3 As 3.09-3.20, 4 Pt 3.30
As  0.5000  0.5867  0.5867  2 Pt 2.54
Pt  0.0000  0.6998  0.6998  2 As 2.54